The following is a PBE with a Hubbard U calculation of a relaxed FeSiI2O crystal, from the Alexandria database.

Unit cell a=5.629 b=5.629 c=3.529 alpha=90.00 beta=90.00 gamma=90.00
Site moments in Bohr magnetons follow the coordinates.
Fractional coordinates of all 5 atoms:
I (0.500, 0.000, 0.000)  0.00
I (0.000, 0.500, 0.000)  0.00
Fe (0.500, 0.500, 0.500)  2.97
Si (0.000, 0.000, 0.000)  0.00
O (0.000, 0.000, 0.500)  0.00

Calculated values
energy above the most stable polymorph in this dataset: 0 meV per atom
calculated total energy: -0.2899 Ry per atom
magnetization: 3.07 μB/cell